[1]
## LaB5O9 (SCAN)

Data for LaB5O9 at its PBEsol-relaxed geometry.

The structure in POSCAR format:
```
LaB5O9
1.0
6.439 0.011 0.000
-2.143 7.871 0.000
0.000 0.000 11.674
O B La
36 20 4
Direct
0.415 0.665 0.800 O
0.402 0.700 0.010 O
0.070 0.840 0.977 O
0.930 0.660 0.477 O
0.137 0.069 0.841 O
0.890 0.716 0.278 O
0.582 0.066 0.113 O
0.137 0.569 0.659 O
0.277 0.673 0.401 O
0.863 0.931 0.159 O
0.220 0.403 0.986 O
0.277 0.173 0.099 O
0.598 0.800 0.510 O
0.585 0.335 0.200 O
0.110 0.284 0.722 O
0.760 0.453 0.832 O
0.585 0.835 0.300 O
0.598 0.300 0.990 O
0.723 0.327 0.599 O
0.890 0.216 0.222 O
0.240 0.547 0.168 O
0.930 0.160 0.023 O
0.402 0.200 0.490 O
0.110 0.784 0.778 O
0.780 0.597 0.014 O
0.418 0.434 0.613 O
0.780 0.097 0.486 O
0.863 0.431 0.341 O
0.418 0.934 0.887 O
0.415 0.165 0.700 O
0.070 0.340 0.523 O
0.723 0.827 0.901 O
0.220 0.903 0.514 O
0.582 0.566 0.387 O
0.760 0.953 0.668 O
0.240 0.047 0.332 O
0.811 0.589 0.371 B
0.516 0.724 0.402 B
0.773 0.328 0.252 B
0.710 0.955 0.554 B
0.855 0.257 0.534 B
0.145 0.743 0.466 B
0.145 0.243 0.034 B
0.290 0.545 0.054 B
0.811 0.089 0.129 B
0.516 0.224 0.098 B
0.773 0.828 0.248 B
0.484 0.776 0.902 B
0.189 0.911 0.871 B
0.290 0.045 0.446 B
0.855 0.757 0.966 B
0.189 0.411 0.629 B
0.484 0.276 0.598 B
0.227 0.172 0.752 B
0.710 0.455 0.946 B
0.227 0.672 0.748 B
0.751 0.643 0.675 La
0.249 0.357 0.325 La
0.249 0.857 0.175 La
0.751 0.143 0.825 La
```

E (eV/atom): -11.99
Volume (Å³/cell): 592
Spin magnetization (μB/f.u.): 0.0
Crystal system: monoclinic
ΔE_f (raw) (eV/atom): -2.91

=====

[2]
## KRe2Pb (SCAN)

Data for KRe2Pb at its PBEsol-relaxed geometry.

The structure in POSCAR format:
```
KRe2Pb
1.0
-2.097 0.646 -1.609
-0.793 -5.251 -0.213
-1.802 2.617 5.268
K Re Pb
1 2 1
Direct
0.000 0.500 0.000 K
0.000 0.000 0.500 Re
0.500 0.500 0.500 Re
0.500 0.000 0.000 Pb
```

E (eV/atom): -55.03
Energy of formation from the pure elements (eV per atom): 1.550
Volume (Å³/cell): 78
Spin magnetization (μB/f.u.): 0.0
Crystal system: monoclinic